No. 1
Crystalline Pr6SmDy5 at its relaxed geometry, computed with PBE.

Summary:
* D(E_F): 1.352 states/eV per atom
* E: -4.685 eV/atom
* calculated formation energy: 16 meV per atom
* volume: 33.95 Å³/atom

POSCAR file:
```
Pr6SmDy5
1.0
-2.739 -1.632 -4.074
6.565 4.628 -6.266
2.352 -7.939 4.881
Pr Dy Sm
6 5 1
Cartesian
5.897 -5.290 -1.848
-0.164 -6.261 -0.668
6.342 1.318 -4.791
3.108 -3.954 -3.792
0.281 0.347 -3.612
3.069 -0.989 -1.668
3.337 -0.652 -5.267
3.282 2.314 -3.133
2.841 -4.291 -0.193
6.123 -1.975 -3.326
0.055 -2.967 -2.134
0.000 0.000 0.000
```

No. 2
Crystalline ErAgSnSe4 at its relaxed geometry, computed with PBE.

Summary:
* D(E_F): 0.189 states/eV per atom
* E: -4.437 eV/atom
* energy relative to the elements, uncorrected: -5.71 eV per formula unit
* volume: 27.84 Å³/atom

POSCAR file:
```
ErAgSnSe4
1.0
8.190 0.000 0.000
4.095 7.102 0.101
4.095 2.260 6.734
Er Ag Sn Se
2 2 2 8
Cartesian
4.095 4.681 3.417
0.000 0.000 0.000
8.190 4.776 0.945
8.190 4.586 5.890
2.048 1.130 3.367
6.143 1.130 3.367
6.043 3.350 4.988
8.190 2.235 1.822
4.095 2.265 1.844
6.043 6.011 1.847
8.190 7.127 5.013
12.286 7.097 4.991
10.338 6.011 1.847
10.338 3.350 4.988
```

No. 3
Crystalline Pm2DySe3 at its relaxed geometry, computed with PBE.

Summary:
* D(E_F): 0.445 states/eV per atom
* energy above the lowest structure with this stoichiometry: 0.0 meV per atom
* E: -5.897 eV/atom
* energy relative to the elements, uncorrected: -10.82 eV per formula unit
* volume: 25.40 Å³/atom

POSCAR file:
```
Pm2DySe3
1.0
4.165 0.000 0.000
0.000 5.867 0.000
-2.082 -2.933 6.236
Se Pm Dy
3 2 1
Cartesian
-1.041 1.467 5.106
3.124 1.467 1.131
1.041 -1.467 3.118
3.124 4.400 0.978
-1.041 -1.467 5.259
1.041 1.467 3.118
```